1.
Here is Co2SiTc after structural relaxation from Alexandria. Energies are from GGA-PBEsol.

Results
Formation energy without anion corrections   -0.231 eV per atom
Fermi-level density of states   1.0932 states/eV per atom
SG   Cm, No. 8

The structure in CIF format:
```
data_Co2SiTc
_chemical_formula_sum 'Co4 Si2 Tc2'
_symmetry_space_group_name_H-M 'P 1'
_symmetry_Int_Tables_number 1
_cell_length_a 8.199
_cell_length_b 2.591
_cell_length_c 4.373
_cell_angle_alpha 90.00
_cell_angle_beta 102.10
_cell_angle_gamma 90.00
loop_
_symmetry_equiv_pos_as_xyz
'x,y,z'
loop_
_atom_site_label
_atom_site_type_symbol
_atom_site_fract_x
_atom_site_fract_y
_atom_site_fract_z
Co1 Co 0.000 0.000 0.000
Co2 Co 0.244 0.000 0.728
Co3 Co 0.500 0.500 0.000
Co4 Co 0.744 0.500 0.728
Si1 Si 0.006 0.500 0.537
Si2 Si 0.506 0.000 0.537
Tc1 Tc 0.253 0.500 0.221
Tc2 Tc 0.753 0.000 0.221
```

***

2.
Here is BaSb2SI after structural relaxation from Alexandria. Energies are from GGA-PBEsol.

Results
Formation energy without anion corrections   -0.314 eV per atom
Energy above the most stable polymorph in this dataset   0 meV/atom
Fermi-level density of states   1.1694 states/eV per atom
SG   P4/mmm, No. 123

The structure in CIF format:
```
data_BaSb2SI
_chemical_formula_sum 'Ba1 Sb2 S1 I1'
_symmetry_space_group_name_H-M 'P 1'
_symmetry_Int_Tables_number 1
_cell_length_a 5.230
_cell_length_b 5.230
_cell_length_c 5.843
_cell_angle_alpha 90.00
_cell_angle_beta 90.00
_cell_angle_gamma 90.00
loop_
_symmetry_equiv_pos_as_xyz
'x,y,z'
loop_
_atom_site_label
_atom_site_type_symbol
_atom_site_fract_x
_atom_site_fract_y
_atom_site_fract_z
Ba1 Ba 0.000 0.000 0.000
Sb1 Sb 0.000 0.500 0.500
Sb2 Sb 0.500 0.000 0.500
S1 S 0.500 0.500 0.500
I1 I 0.500 0.500 0.000
```

***

3.
Here is KRe2Ni after structural relaxation from Alexandria. Energies are from GGA-PBEsol.

Results
Energy above the most stable polymorph in this dataset   0 meV/atom
Fermi-level density of states   1.2624 states/eV per atom
SG   P4mm, No. 99

The structure in CIF format:
```
data_KRe2Ni
_chemical_formula_sum 'K1 Re2 Ni1'
_symmetry_space_group_name_H-M 'P 1'
_symmetry_Int_Tables_number 1
_cell_length_a 2.968
_cell_length_b 2.968
_cell_length_c 8.425
_cell_angle_alpha 90.00
_cell_angle_beta 90.00
_cell_angle_gamma 90.00
loop_
_symmetry_equiv_pos_as_xyz
'x,y,z'
loop_
_atom_site_label
_atom_site_type_symbol
_atom_site_fract_x
_atom_site_fract_y
_atom_site_fract_z
K1 K 0.000 0.000 0.000
Re1 Re 0.000 0.000 0.475
Re2 Re 0.500 0.500 0.645
Ni1 Ni 0.500 0.500 0.295
```

***

4.
Here is Fe2SbBr after structural relaxation from Alexandria. Energies are from GGA-PBEsol.

Results
Formation energy without anion corrections   0.694 eV per atom
Energy above the most stable polymorph in this dataset   388 meV/atom
Fermi-level density of states   1.1916 states/eV per atom
SG   Pmmm, No. 47

The structure in CIF format:
```
data_Fe2SbBr
_chemical_formula_sum 'Fe2 Sb1 Br1'
_symmetry_space_group_name_H-M 'P 1'
_symmetry_Int_Tables_number 1
_cell_length_a 3.047
_cell_length_b 4.056
_cell_length_c 5.802
_cell_angle_alpha 90.00
_cell_angle_beta 90.00
_cell_angle_gamma 90.00
loop_
_symmetry_equiv_pos_as_xyz
'x,y,z'
loop_
_atom_site_label
_atom_site_type_symbol
_atom_site_fract_x
_atom_site_fract_y
_atom_site_fract_z
Fe1 Fe 0.000 0.000 0.000
Fe2 Fe 0.500 0.000 0.500
Sb1 Sb 0.000 0.500 0.500
Br1 Br 0.500 0.500 0.000
```

***

no.,spin magnetization (μB/atom),DFT total energy (eV per atom)
1,0.001,-8.35
2,0.000,-3.80
3,0.001,-7.71
4,1.129,-5.39